No. 1
PBE-GGA K3TbSb2O6, relaxed; calculated density = 4.336 Mg/m³; crystal system = trigonal; space group = P-3m1, No. 164
1.0
-3.649 -4.944 -0.119
5.713 -0.450 2.220
-2.431 1.635 6.587
O Tb K Sb
6 1 3 2
Direct
0.344 0.172 0.690
0.172 0.344 0.310
0.172 0.828 0.310
0.656 0.828 0.310
0.828 0.172 0.690
0.828 0.656 0.690
0.000 0.000 0.500
0.333 0.667 0.647
0.000 0.000 0.000
0.667 0.333 0.353
0.667 0.333 0.821
0.333 0.667 0.179

=====

No. 2
PBE-GGA K3Tb3SbO8, relaxed; calculated density = 5.336 Mg/m³; crystal system = trigonal; space group = R-3m, No. 166
1.0
6.918 0.000 0.001
-3.459 5.992 -0.023
0.001 -3.972 6.349
O Sb Tb K
8 1 3 3
Direct
0.254 0.039 0.324
0.273 0.546 0.319
0.215 0.961 0.676
0.215 0.430 0.676
0.727 0.454 0.681
0.785 0.570 0.324
0.785 0.039 0.324
0.746 0.961 0.676
0.000 0.000 0.500
0.500 0.000 0.500
0.000 0.500 0.500
0.500 0.500 0.500
0.500 0.500 0.000
0.000 0.000 0.000
0.000 0.500 0.000

=====

No. 3
PBE-GGA K2TbSb2O6, relaxed; calculated density = 4.579 Mg/m³; crystal system = monoclinic; space group = C2/m, No. 12
1.0
6.307 0.000 0.000
-3.153 5.000 -0.130
0.000 -2.957 6.709
O K Tb Sb
6 2 1 2
Direct
0.712 0.911 0.254
0.288 0.089 0.746
0.739 0.477 0.534
0.261 0.523 0.466
0.200 0.911 0.254
0.800 0.089 0.746
0.699 0.398 0.143
0.301 0.602 0.857
0.500 0.000 0.500
0.070 0.141 0.238
0.930 0.859 0.762

=====

No. 4
PBE-GGA KTc2SbO8, relaxed; calculated density = 3.650 Mg/m³; crystal system = trigonal; space group = R32, No. 155
1.0
-5.037 1.464 -1.189
-3.337 -3.506 -2.345
-5.462 -3.437 6.746
O Tc Sb K
8 2 1 1
Direct
0.480 0.105 0.665
0.750 0.480 0.665
0.105 0.750 0.665
0.520 0.250 0.335
0.688 0.688 0.937
0.250 0.895 0.335
0.312 0.312 0.063
0.895 0.520 0.335
0.754 0.754 0.739
0.246 0.246 0.261
0.500 0.500 0.500
0.000 0.000 0.000

=====

No. 5
PBE-GGA KSb2TeO8, relaxed; calculated density = 5.425 Mg/m³; crystal system = monoclinic; space group = P2/m, No. 10
1.0
-1.718 3.269 3.361
-4.290 0.746 -2.419
-2.787 -4.968 3.408
K O Sb Te
1 8 2 1
Direct
0.000 0.000 0.500
0.207 0.790 0.208
0.665 0.671 0.500
0.696 0.699 0.000
0.304 0.301 0.000
0.793 0.210 0.208
0.335 0.329 0.500
0.793 0.210 0.792
0.207 0.790 0.792
0.500 0.500 0.253
0.500 0.500 0.747
0.000 0.000 0.000

=====

No. 6
PBE-GGA KSbTeO, relaxed; calculated density = 4.596 Mg/m³; crystal system = monoclinic; space group = Cm, No. 8
1.0
-1.925 2.670 -0.156
-1.458 1.262 4.782
4.334 5.308 2.569
Te Sb O K
1 1 1 1
Direct
0.528 0.915 0.029
0.348 0.544 0.759
0.980 0.430 0.609
0.707 0.199 0.386

=====

No. 7
PBE-GGA KSb2TeO, relaxed; calculated density = 5.648 Mg/m³; crystal system = tetragonal; space group = P4/mmm, No. 123
1.0
4.847 0.000 0.000
0.000 4.847 0.000
0.000 0.000 5.334
Te Sb O K
1 2 1 1
Direct
0.000 0.000 0.500
0.500 0.000 0.000
0.000 0.500 0.000
0.000 0.000 0.000
0.500 0.500 0.500

=====

No. 8
PBE-GGA KSb2TeO, relaxed; calculated density = 3.371 Mg/m³; crystal system = tetragonal; space group = P4/mmm, No. 123
1.0
-4.955 3.218 -0.936
-1.705 -3.858 -4.242
-2.830 -3.185 4.034
O Sb Te K
1 2 1 1
Direct
0.500 0.500 0.500
0.000 0.500 0.000
0.500 0.000 0.000
0.000 0.000 0.500
0.000 0.000 0.000

=====

Final energy / eV per atom: -5.828 -6.534 -5.927 -6.814 -5.452 -4.067 -3.673 -1.787
Uncorrected formation energy / kJ/mol of formula units: -2318 -3574 -1966 -1559 -1281 -284 -89 821